[1]
VASP calculation (PBE-GGA) on a relaxed structure of ZrHgP2.

Results
Total DFT energy (no corrections) in eV per atom: -5.260
N(E_F) in states/eV per cell: 1.312
SG: No. 99
M_tot in μB/f.u.: 0.0

```
ZrHgP2
1.0
3.7134 0.0000 0.0000
0.0000 3.7134 0.0000
0.0000 0.0000 5.7025
Zr Hg P
1 1 2
Direct
0.0000 0.0000 0.0000 Zr
0.5000 0.5000 0.3644 Hg
0.0000 0.0000 0.4731 P
0.5000 0.5000 0.8983 P
```


[2]
VASP calculation (PBE-GGA) on a relaxed structure of AcClF2.

Results
Total DFT energy (no corrections) in eV per atom: -6.041
N(E_F) in states/eV per cell: 0.000
SG: No. 160
E above lowest polymorph in eV per formula unit: 0.13
M_tot in μB/f.u.: 0.0
Formation energy (no corrections) in kJ per mole of atoms: -349

```
AcClF2
1.0
2.1522 1.2426 5.2314
-2.1522 1.2426 5.2314
0.0000 -2.4851 5.2314
Ac Cl F
1 1 2
Direct
0.0000 0.0000 0.0000 Ac
0.8077 0.8077 0.8077 Cl
0.3444 0.3444 0.3444 F
0.6176 0.6176 0.6176 F
```


[3]
VASP calculation (PBE-GGA) on a relaxed structure of Pr2SmDy3Ho6.

Results
Total DFT energy (no corrections) in eV per atom: -4.610
N(E_F) in states/eV per cell: 15.402
SG: No. 12
M_tot in μB/f.u.: 0.0

```
Pr2SmDy3Ho6
1.0
3.0944 -5.3559 0.0000
3.0944 5.3559 0.0000
-2.0539 0.0000 11.6096
Pr Sm Dy Ho
2 1 3 6
Direct
0.1666 0.8334 0.0000 Pr
0.8334 0.1666 0.0000 Pr
0.5000 0.5000 0.0000 Sm
0.0000 0.0000 0.5000 Dy
0.3334 0.6666 0.5000 Dy
0.6666 0.3334 0.5000 Dy
0.0816 0.4146 0.7463 Ho
0.2525 0.2525 0.2538 Ho
0.4146 0.0816 0.7463 Ho
0.5854 0.9184 0.2537 Ho
0.7475 0.7475 0.7462 Ho
0.9184 0.5854 0.2537 Ho
```


[4]
VASP calculation (PBE-GGA) on a relaxed structure of CdAsCl2.

Results
Total DFT energy (no corrections) in eV per atom: -2.515
N(E_F) in states/eV per cell: 1.279
SG: No. 166
E above lowest polymorph in eV per formula unit: 0.81
M_tot in μB/f.u.: 0.0
Formation energy (no corrections) in kJ per mole of atoms: -19

```
CdAsCl2
1.0
1.7020 0.9826 9.2527
-1.7020 0.9826 9.2527
0.0000 -1.9653 9.2527
Cd As Cl
1 1 2
Direct
0.0000 0.0000 0.0000 Cd
0.5000 0.5000 0.5000 As
0.4116 0.4116 0.4116 Cl
0.5884 0.5884 0.5884 Cl
```


[5]
VASP calculation (PBE-GGA) on a relaxed structure of RbSr2Mn.

Results
Total DFT energy (no corrections) in eV per atom: -2.783
N(E_F) in states/eV per cell: 6.687
SG: No. 225
M_tot in μB/f.u.: 3.8

```
RbSr2Mn
1.0
0.0000 4.4242 4.4242
4.4242 0.0000 4.4242
4.4242 4.4242 0.0000
Rb Sr Mn
1 2 1
Direct
0.0000 0.0000 0.0000 Rb
0.2500 0.2500 0.2500 Sr
0.7500 0.7500 0.7500 Sr
0.5000 0.5000 0.5000 Mn
```


[6]
VASP calculation (PBE-GGA) on a relaxed structure of NaCoNiP2.

Results
Total DFT energy (no corrections) in eV per atom: -5.519
N(E_F) in states/eV per cell: 3.528
SG: No. 119
M_tot in μB/f.u.: 0.0

```
NaCoNiP2
1.0
-1.9125 1.9125 4.6871
1.9125 -1.9125 4.6871
1.9125 1.9125 -4.6871
Na Co Ni P
1 1 1 2
Direct
0.0000 0.0000 0.0000 Na
0.7500 0.2500 0.5000 Co
0.2500 0.7500 0.5000 Ni
0.3756 0.3756 0.0000 P
0.6244 0.6244 0.0000 P
```


[7]
VASP calculation (PBE-GGA) on a relaxed structure of TiAl5Co4.

Results
Total DFT energy (no corrections) in eV per atom: -6.061
N(E_F) in states/eV per cell: 6.252
SG: No. 123
M_tot in μB/f.u.: 0.0

```
TiAl5Co4
1.0
2.8334 0.0000 0.0000
0.0000 2.8334 0.0000
0.0000 0.0000 15.6003
Ti Al Co
1 5 4
Direct
0.0000 0.0000 0.0000 Ti
0.5000 0.5000 0.1291 Al
0.5000 0.5000 0.3141 Al
0.5000 0.5000 0.5000 Al
0.5000 0.5000 0.6859 Al
0.5000 0.5000 0.8709 Al
0.0000 0.0000 0.2221 Co
0.0000 0.0000 0.4076 Co
0.0000 0.0000 0.5924 Co
0.0000 0.0000 0.7779 Co
```


[8]
VASP calculation (PBE-GGA) on a relaxed structure of AlCu6Ni.

Results
Total DFT energy (no corrections) in eV per atom: -4.011
N(E_F) in states/eV per cell: 4.169
SG: No. 123
E above lowest polymorph in eV per formula unit: 1.95
M_tot in μB/f.u.: 0.0

```
AlCu6Ni
1.0
3.3497 0.0000 0.0000
0.0000 3.3497 0.0000
0.0000 0.0000 9.7936
Al Cu Ni
1 6 1
Direct
0.0000 0.0000 0.0000 Al
0.0000 0.5000 0.1954 Cu
0.0000 0.5000 0.8046 Cu
0.5000 0.0000 0.1954 Cu
0.5000 0.0000 0.8046 Cu
0.5000 0.5000 0.3823 Cu
0.5000 0.5000 0.6177 Cu
0.0000 0.0000 0.5000 Ni
```


[9]
VASP calculation (PBE-GGA) on a relaxed structure of Y3PtPb.

Results
Total DFT energy (no corrections) in eV per atom: -6.361
N(E_F) in states/eV per cell: 7.226
SG: No. 221
E above lowest polymorph in eV per formula unit: 0.00
M_tot in μB/f.u.: 0.0

```
Y3PtPb
1.0
5.4219 0.0000 0.0000
0.0000 5.4219 0.0000
0.0000 0.0000 5.4219
Y Pt Pb
3 1 1
Direct
0.0000 0.0000 0.5000 Y
0.0000 0.5000 0.0000 Y
0.5000 0.0000 0.0000 Y
0.0000 0.0000 0.0000 Pt
0.5000 0.5000 0.5000 Pb
```


[10]
VASP calculation (PBE-GGA) on a relaxed structure of NdPu3Co.

Results
Total DFT energy (no corrections) in eV per atom: -10.716
N(E_F) in states/eV per cell: 22.025
SG: No. 221
M_tot in μB/f.u.: 17.6

```
NdPu3Co
1.0
5.2102 0.0000 0.0000
0.0000 5.2102 0.0000
0.0000 0.0000 5.2102
Nd Pu Co
1 3 1
Direct
0.0000 0.0000 0.0000 Nd
0.0000 0.5000 0.5000 Pu
0.5000 0.0000 0.5000 Pu
0.5000 0.5000 0.0000 Pu
0.5000 0.5000 0.5000 Co
```


[11]
VASP calculation (PBE-GGA) on a relaxed structure of CaTh2Pd9.

Results
Total DFT energy (no corrections) in eV per atom: -6.150
N(E_F) in states/eV per cell: 4.748
SG: No. 123
M_tot in μB/f.u.: 0.0

```
CaTh2Pd9
1.0
4.1894 0.0000 0.0000
0.0000 4.1894 0.0000
0.0000 0.0000 12.5458
Ca Th Pd
1 2 9
Direct
0.0000 0.0000 0.0000 Ca
0.0000 0.0000 0.3281 Th
0.0000 0.0000 0.6719 Th
0.0000 0.5000 0.1681 Pd
0.0000 0.5000 0.5000 Pd
0.0000 0.5000 0.8319 Pd
0.5000 0.0000 0.1681 Pd
0.5000 0.0000 0.5000 Pd
0.5000 0.0000 0.8319 Pd
0.5000 0.5000 0.0000 Pd
0.5000 0.5000 0.3351 Pd
0.5000 0.5000 0.6649 Pd
```


[12]
VASP calculation (PBE-GGA) on a relaxed structure of LiScFe2.

Results
Total DFT energy (no corrections) in eV per atom: -6.090
N(E_F) in states/eV per cell: 3.843
SG: No. 139
M_tot in μB/f.u.: 4.0

```
LiScFe2
1.0
-1.8644 1.8644 4.1088
1.8644 -1.8644 4.1088
1.8644 1.8644 -4.1088
Li Sc Fe
1 1 2
Direct
0.0000 0.0000 0.0000 Li
0.5000 0.5000 0.0000 Sc
0.2500 0.7500 0.5000 Fe
0.7500 0.2500 0.5000 Fe
```


[13]
VASP calculation (PBE-GGA) on a relaxed structure of Mg3Ga3Ir2Pt.

Results
Total DFT energy (no corrections) in eV per atom: -4.613
N(E_F) in states/eV per cell: 4.707
SG: No. 189
M_tot in μB/f.u.: 0.0

```
Mg3Ga3Ir2Pt
1.0
7.4351 0.0000 0.0000
-3.7176 6.4390 0.0000
0.0000 0.0000 3.0039
Mg Ga Ir Pt
3 3 2 1
Direct
0.0000 0.2886 0.0000 Mg
0.2886 0.0000 0.0000 Mg
0.7114 0.7114 0.0000 Mg
0.0000 0.6228 0.5000 Ga
0.3772 0.3772 0.5000 Ga
0.6228 0.0000 0.5000 Ga
0.3333 0.6667 0.0000 Ir
0.6667 0.3333 0.0000 Ir
0.0000 0.0000 0.5000 Pt
```